Record 1
# ZrRuCl

ZrRuCl after structural relaxation (PBE, Alexandria).

As for the polymorph energy (0 for the lowest one): 179.4 kJ/mol of formula units. As for the total magnetization: 0.000 μB per atom. The calculated volume comes out at 239 Å³/cell. The density of states at the Fermi level comes out at 12.70 states/eV per cell. The uncorrected formation energy is 124 meV/atom.

The space group is F-43m (No. 216) and the conventional cell measures 6.202, 6.202 and 6.202 Å, with angles of 90.00, 90.00 and 90.00 degrees. The distinct sites, in fractional coordinates, are Zr at (0.000, 0.000, 0.000), Ru at (0.250, 0.250, 0.750) and Cl at (0.000, 0.000, 0.500).

---

Record 2
# MgHgAu6

MgHgAu6 after structural relaxation (PBE, Alexandria).

As for the total magnetization: 0.000 μB per atom. Its energy of formation from the pure elements is -173 meV per atom. The calculated volume comes out at 147 Å³/cell. The density of states at the Fermi level comes out at 1.43 states/eV per cell.

The space group is P-6m2 (No. 187) and the conventional cell measures 5.9090, 5.9090 and 4.8667 Å, with angles of 90.00, 90.00 and 120.00 degrees. The distinct sites, in fractional coordinates, are Mg at (0.0000, 0.0000, 0.0000), Hg at (0.3333, 0.6667, 0.5000), Au at (0.3305, 0.1653, 0.5000) and Au at (0.5020, 0.0040, 0.0000).

---

Record 3
# Ba2TeRhPb

Ba2TeRhPb after structural relaxation (PBE, Alexandria).

As for the total magnetization: 0.000 μB per atom. The calculated volume comes out at 189 Å³/cell. The density of states at the Fermi level comes out at 2.02 states/eV per cell. The uncorrected formation energy is -721 meV/atom.

The space group is P4/mmm (No. 123) and the conventional cell measures 6.047, 6.047 and 5.155 Å, with angles of 90.00, 90.00 and 90.00 degrees. The distinct sites, in fractional coordinates, are Ba at (0.000, 0.500, 0.000), Te at (0.000, 0.000, 0.500), Rh at (0.500, 0.500, 0.000) and Pb at (0.500, 0.500, 0.500).

---

Record 4
# LiPaO4

LiPaO4 after structural relaxation (PBE, Alexandria).

As for the polymorph energy (0 for the lowest one): 92.5 kJ/mol of formula units. As for the total magnetization: 0.334 μB per atom. The calculated volume comes out at 295 Å³/cell. The density of states at the Fermi level comes out at 15.38 states/eV per cell. The uncorrected formation energy is -2247 meV/atom.

The space group is I4_1/amd (No. 141, origin choice 2) and the conventional cell measures 5.212, 5.212 and 10.850 Å, with angles of 90.00, 90.00 and 90.00 degrees. The distinct sites, in fractional coordinates, are Li at (0.000, 0.250, 0.375), Pa at (0.000, 0.250, 0.875) and O at (0.243, 0.000, 0.000).

---

Record 5
# KTl2TeBr

KTl2TeBr after structural relaxation (PBE, Alexandria).

As for the total magnetization: 0.000 μB per atom. The calculated volume comes out at 415 Å³/cell. The density of states at the Fermi level comes out at 0.00 states/eV per cell. The uncorrected formation energy is -773 meV/atom.

The space group is P2_1/m (No. 11) and the conventional cell measures 9.800, 4.786 and 9.848 Å, with angles of 90.00, 115.94 and 90.00 degrees. The distinct sites, in fractional coordinates, are K at (0.203, 0.250, 0.143), Tl at (0.179, 0.250, 0.505), Tl at (0.289, 0.750, 0.808), Te at (0.012, 0.250, 0.734) and Br at (0.427, 0.750, 0.158).

---

Record 6
# LaTc3

LaTc3 after structural relaxation (PBE, Alexandria).

As for the total magnetization: 0.000 μB per atom. Its energy of formation from the pure elements is 547 meV per atom. The calculated volume comes out at 311 Å³/cell. The density of states at the Fermi level comes out at 24.14 states/eV per cell.

The space group is P6_3/mmc (No. 194) and the conventional cell measures 6.5826, 6.5826 and 8.2989 Å, with angles of 90.00, 90.00 and 120.00 degrees. The distinct sites, in fractional coordinates, are La at (0.0000, 0.0000, 0.0000), La at (0.3333, 0.6667, 0.2500), Tc at (0.0000, 0.5000, 0.0000) and Tc at (0.2036, 0.4072, 0.7500).